# 1
A relaxed structure of LiNiO2. Source: Alexandria, functional PBE+U.

Lattice parameters (Å, degrees): 3.5285 3.5285 6.9002 90.00 90.00 120.00
Last column: nearest neighbours and their distance in Å.
Fractional coordinates of all 4 atoms:
Li1 0.0000 0.0000 0.0000  2 O 1.78
Ni1 0.0000 0.0000 0.5000  2 O 1.67
O1 0.0000 0.0000 0.2577  1 Ni 1.67, 1 Li 1.78
O2 0.0000 0.0000 0.7423  1 Ni 1.67, 1 Li 1.78

Properties
Total magnetic moment in μB/cell: 3.02
V in Å³/atom: 18.60
DFT total energy in eV per atom: -4.03

# 2
A relaxed structure of LiNiO2. Source: Alexandria, functional PBE+U.

Lattice parameters (Å, degrees): 5.7641 5.7641 5.8530 120.11 120.11 60.50
Last column: nearest neighbours and their distance in Å.
Fractional coordinates of all 16 atoms:
Li1 0.0000 0.0000 0.0000  6 O 2.15-2.22
Li2 0.0000 0.0000 0.5000  6 O 2.04-2.07
Li3 0.0000 0.5000 0.0000  6 O 2.03-2.22
Li4 0.5000 0.0000 0.0000  6 O 2.03-2.22
Ni1 0.0000 0.5000 0.5000  6 O 1.91-2.10
Ni2 0.5000 0.0000 0.5000  6 O 1.91-2.10
Ni3 0.5000 0.5000 0.0000  6 O 2.04-2.06
Ni4 0.5000 0.5000 0.5000  6 O 1.91
O1 0.2498 0.2498 0.7118  3 Ni 1.91-2.04, 1 Li 2.04
O2 0.2581 0.7195 0.7212  3 Ni 1.91-2.06, 2 Li 2.07-2.12
O3 0.2650 0.2650 0.2556  3 Ni 1.91-2.10, 2 Li 2.03
O4 0.2805 0.7419 0.2788  3 Ni 1.91-2.06, 2 Li 2.07-2.12
O5 0.7195 0.2581 0.7212  3 Ni 1.91-2.06, 2 Li 2.07-2.12
O6 0.7350 0.7350 0.7444  3 Ni 1.91-2.10, 2 Li 2.03
O7 0.7419 0.2805 0.2788  3 Ni 1.91-2.06, 2 Li 2.07-2.12
O8 0.7502 0.7502 0.2882  3 Ni 1.91-2.04, 1 Li 2.04

Properties
Total magnetic moment in μB/cell: 4.00
V in Å³/atom: 8.61
DFT total energy in eV per atom: -4.86

# 3
A relaxed structure of Li11Ni12O24. Source: Alexandria, functional PBE+U.

Lattice parameters (Å, degrees): 7.6479 7.6479 9.7447 121.07 121.07 69.52
Last column: nearest neighbours and their distance in Å.
Fractional coordinates of all 47 atoms:
Li1 0.0000 0.0000 0.0000  6 O 2.06-2.09
Li2 0.0932 0.4185 0.2540  6 O 2.03-2.20
Li3 0.1781 0.8219 0.5000  6 O 2.05-2.20
Li4 0.2477 0.2477 0.7483  6 O 2.04-2.19
Li5 0.3256 0.6744 0.0000  6 O 2.05-2.27
Li6 0.4185 0.0932 0.2540  6 O 2.03-2.20
Li7 0.5815 0.9068 0.7460  6 O 2.03-2.20
Li8 0.6744 0.3256 0.0000  6 O 2.05-2.27
Li9 0.7523 0.7523 0.2517  6 O 2.04-2.19
Li10 0.8219 0.1781 0.5000  6 O 2.05-2.20
Li11 0.9068 0.5815 0.7460  6 O 2.03-2.20
Ni1 0.0418 0.7097 0.1241  6 O 1.89-2.01
Ni2 0.1214 0.1214 0.3693  6 O 1.85-2.02
Ni3 0.2070 0.5398 0.6214  6 O 1.93-2.07
Ni4 0.2903 0.9582 0.8759  6 O 1.89-2.01
Ni5 0.3757 0.3757 0.1245  6 O 2.02-2.07
Ni6 0.4602 0.7930 0.3786  6 O 1.93-2.07
Ni7 0.5398 0.2070 0.6214  6 O 1.93-2.07
Ni8 0.6243 0.6243 0.8755  6 O 2.02-2.07
Ni9 0.7097 0.0418 0.1241  6 O 1.89-2.01
Ni10 0.7930 0.4602 0.3786  6 O 1.93-2.07
Ni11 0.8786 0.8786 0.6307  6 O 1.85-2.02
Ni12 0.9582 0.2903 0.8759  6 O 1.89-2.01
O1 0.0176 0.3582 0.5463  3 Ni 1.93-2.02, 1 Li 2.11
O2 0.0560 0.0560 0.6946  3 Ni 1.90-2.01, 1 Li 2.12
O3 0.1125 0.7801 0.8110  3 Ni 1.90-2.06, 2 Li 2.05-2.09
O4 0.1317 0.4750 0.9381  3 Ni 1.93-2.07, 3 Li 2.10-2.14
O5 0.1820 0.1820 0.0401  3 Ni 1.93-2.02, 1 Li 2.06
O6 0.2199 0.8875 0.1890  3 Ni 1.90-2.06, 2 Li 2.05-2.09
O7 0.2611 0.6201 0.2959  3 Ni 1.89-2.05, 2 Li 2.05-2.09
O8 0.2929 0.2929 0.4285  3 Ni 1.85-2.07, 2 Li 2.03
O9 0.3582 0.0176 0.5463  3 Ni 1.93-2.02, 1 Li 2.11
O10 0.3799 0.7389 0.7041  3 Ni 1.89-2.05, 2 Li 2.05-2.09
O11 0.4264 0.4264 0.7842  3 Ni 1.93-2.05, 1 Li 2.04
O12 0.4750 0.1317 0.9381  3 Ni 1.93-2.07, 3 Li 2.10-2.14
O13 0.5250 0.8683 0.0619  3 Ni 1.93-2.07, 3 Li 2.10-2.14
O14 0.5736 0.5736 0.2158  3 Ni 1.93-2.05, 1 Li 2.04
O15 0.6201 0.2611 0.2959  3 Ni 1.89-2.05, 2 Li 2.05-2.09
O16 0.6418 0.9824 0.4537  3 Ni 1.93-2.02, 1 Li 2.11
O17 0.7071 0.7071 0.5715  3 Ni 1.85-2.07, 2 Li 2.03
O18 0.7389 0.3799 0.7041  3 Ni 1.89-2.05, 2 Li 2.05-2.09
O19 0.7801 0.1125 0.8110  3 Ni 1.90-2.06, 2 Li 2.05-2.09
O20 0.8180 0.8180 0.9599  3 Ni 1.93-2.02, 1 Li 2.06
O21 0.8683 0.5250 0.0619  3 Ni 1.93-2.07, 3 Li 2.10-2.14
O22 0.8875 0.2199 0.1890  3 Ni 1.90-2.06, 2 Li 2.05-2.09
O23 0.9440 0.9440 0.3054  3 Ni 1.90-2.01, 1 Li 2.12
O24 0.9824 0.6418 0.4537  3 Ni 1.93-2.02, 1 Li 2.11

Properties
Total magnetic moment in μB/cell: 11.00
V in Å³/atom: 8.84
DFT total energy in eV per atom: -4.85

# 4
A relaxed structure of Li2Ni5O7. Source: Alexandria, functional PBE+U.

Lattice parameters (Å, degrees): 5.0828 5.0828 6.5696 97.65 97.65 47.93
Last column: nearest neighbours and their distance in Å.
Fractional coordinates of all 14 atoms:
Li1 0.0681 0.0681 0.2127  6 O 2.06-2.17
Li2 0.9319 0.9319 0.7873  6 O 2.06-2.17
Ni1 0.2153 0.2153 0.6435  6 O 2.02-2.08
Ni2 0.3600 0.3600 0.0699  6 O 2.00-2.11
Ni3 0.5000 0.5000 0.5000  6 O 2.00-2.08
Ni4 0.6400 0.6400 0.9301  6 O 2.00-2.11
Ni5 0.7847 0.7847 0.3565  6 O 2.02-2.08
O1 0.0000 0.0000 0.5000  4 Ni 2.06-2.08, 2 Li 2.08
O2 0.1543 0.1543 0.9260  4 Ni 2.00-2.07, 2 Li 2.13-2.15
O3 0.2928 0.2928 0.3625  5 Ni 2.00-2.11, 1 Li 2.17
O4 0.4308 0.4308 0.7868  4 Ni 2.03-2.08, 2 Li 2.06
O5 0.5692 0.5692 0.2132  4 Ni 2.03-2.08, 2 Li 2.06
O6 0.7072 0.7072 0.6375  5 Ni 2.00-2.11, 1 Li 2.17
O7 0.8457 0.8457 0.0740  4 Ni 2.00-2.07, 2 Li 2.13-2.15

Properties
Total magnetic moment in μB/cell: 8.00
V in Å³/atom: 8.90
DFT total energy in eV per atom: -4.85

# 5
A relaxed structure of Li7Ni8O16. Source: Alexandria, functional PBE+U.

Lattice parameters (Å, degrees): 6.5144 6.6239 7.5448 64.87 75.29 72.37
Last column: nearest neighbours and their distance in Å.
Fractional coordinates of all 31 atoms:
Li1 0.0000 0.0000 0.0000  6 O 2.09-2.17
Li2 0.1283 0.8752 0.3786  6 O 2.04-2.25
Li3 0.2571 0.7451 0.7500  6 O 2.09-2.17
Li4 0.3809 0.6208 0.1353  6 O 2.04-2.24
Li5 0.6191 0.3792 0.8647  6 O 2.04-2.24
Li6 0.7429 0.2549 0.2500  6 O 2.09-2.17
Li7 0.8717 0.1248 0.6214  6 O 2.04-2.25
Ni1 0.0733 0.4398 0.6867  6 O 1.95-2.07
Ni2 0.1832 0.3130 0.0657  6 O 1.88-2.10
Ni3 0.3126 0.1924 0.4349  6 O 1.90-2.05
Ni4 0.4425 0.0622 0.8125  6 O 1.91-2.11
Ni5 0.5575 0.9378 0.1875  6 O 1.91-2.11
Ni6 0.6874 0.8076 0.5651  6 O 1.90-2.05
Ni7 0.8168 0.6870 0.9343  6 O 1.88-2.10
Ni8 0.9267 0.5602 0.3133  6 O 1.95-2.07
O1 0.0362 0.2306 0.3320  3 Ni 1.91-2.04, 3 Li 2.09-2.14
O2 0.0718 0.6568 0.0351  3 Ni 1.92-2.10, 2 Li 2.09-2.11
O3 0.1850 0.1030 0.7095  3 Ni 1.92-2.07, 1 Li 2.15
O4 0.2040 0.5090 0.4095  3 Ni 1.94-2.00, 1 Li 2.04
O5 0.3033 0.9724 0.0860  3 Ni 1.91-2.10, 2 Li 2.11-2.13
O6 0.3266 0.3948 0.8028  3 Ni 1.88-2.08, 2 Li 2.04-2.10
O7 0.4054 0.8832 0.4526  3 Ni 1.91-2.05, 2 Li 2.04-2.12
O8 0.4414 0.2808 0.1646  3 Ni 1.90-2.11, 1 Li 2.09
O9 0.5586 0.7192 0.8354  3 Ni 1.90-2.11, 1 Li 2.09
O10 0.5946 0.1168 0.5474  3 Ni 1.91-2.05, 2 Li 2.04-2.12
O11 0.6734 0.6052 0.1972  3 Ni 1.88-2.08, 2 Li 2.04-2.10
O12 0.6967 0.0276 0.9140  3 Ni 1.91-2.10, 2 Li 2.11-2.13
O13 0.7960 0.4910 0.5905  3 Ni 1.94-2.00, 1 Li 2.04
O14 0.8150 0.8970 0.2905  3 Ni 1.92-2.07, 1 Li 2.15
O15 0.9282 0.3432 0.9649  3 Ni 1.92-2.10, 2 Li 2.09-2.11
O16 0.9638 0.7694 0.6680  3 Ni 1.91-2.04, 3 Li 2.09-2.14

Properties
Total magnetic moment in μB/cell: 11.00
V in Å³/atom: 8.97
DFT total energy in eV per atom: -4.81

# 6
A relaxed structure of LiNi2O4. Source: Alexandria, functional PBE+U.

Lattice parameters (Å, degrees): 8.1129 8.1129 8.1129 90.00 90.00 90.00
Last column: nearest neighbours and their distance in Å.
Fractional coordinates of all 56 atoms:
Li1 0.0047 0.0047 0.0047  4 O 1.94-1.96
Li2 0.2453 0.2453 0.2453  4 O 1.94-1.96
Li3 0.2547 0.7547 0.7453  4 O 1.94-1.96
Li4 0.4953 0.9953 0.5047  4 O 1.94-1.96
Li5 0.5047 0.4953 0.9953  4 O 1.94-1.96
Li6 0.7453 0.2547 0.7547  4 O 1.94-1.96
Li7 0.7547 0.7453 0.2547  4 O 1.94-1.96
Li8 0.9953 0.5047 0.4953  4 O 1.94-1.96
Ni1 0.1160 0.1340 0.6250  6 O 1.87-1.89
Ni2 0.1250 0.3840 0.8660  6 O 1.87-1.89
Ni3 0.1250 0.8750 0.3750  6 O 2.06
Ni4 0.1340 0.6250 0.1160  6 O 1.87-1.89
Ni5 0.3660 0.3750 0.6160  6 O 1.87-1.89
Ni6 0.3750 0.1250 0.8750  6 O 2.06
Ni7 0.3750 0.6160 0.3660  6 O 1.87-1.89
Ni8 0.3840 0.8660 0.1250  6 O 1.87-1.89
Ni9 0.6160 0.3660 0.3750  6 O 1.87-1.89
Ni10 0.6250 0.1160 0.1340  6 O 1.87-1.89
Ni11 0.6250 0.6250 0.6250  6 O 2.06
Ni12 0.6340 0.8750 0.8840  6 O 1.87-1.89
Ni13 0.8660 0.1250 0.3840  6 O 1.87-1.89
Ni14 0.8750 0.3750 0.1250  6 O 2.06
Ni15 0.8750 0.8840 0.6340  6 O 1.87-1.89
Ni16 0.8840 0.6340 0.8750  6 O 1.87-1.89
O1 0.0960 0.1269 0.3944  3 Ni 1.87-2.06, 1 Li 1.96
O2 0.1056 0.9040 0.6269  3 Ni 1.87-2.06, 1 Li 1.96
O3 0.1168 0.6168 0.8832  3 Ni 1.89, 1 Li 1.94
O4 0.1231 0.1540 0.8556  3 Ni 1.87-2.06, 1 Li 1.96
O5 0.1269 0.3944 0.0960  3 Ni 1.87-2.06, 1 Li 1.96
O6 0.1332 0.3668 0.6332  3 Ni 1.89, 1 Li 1.94
O7 0.1444 0.6231 0.3460  3 Ni 1.87-2.06, 1 Li 1.96
O8 0.1540 0.8556 0.1231  3 Ni 1.87-2.06, 1 Li 1.96
O9 0.3460 0.1444 0.6231  3 Ni 1.87-2.06, 1 Li 1.96
O10 0.3556 0.3769 0.8460  3 Ni 1.87-2.06, 1 Li 1.96
O11 0.3668 0.6332 0.1332  3 Ni 1.89, 1 Li 1.94
O12 0.3731 0.6056 0.5960  3 Ni 1.87-2.06, 1 Li 1.96
O13 0.3769 0.8460 0.3556  3 Ni 1.87-2.06, 1 Li 1.96
O14 0.3832 0.3832 0.3832  3 Ni 1.89, 1 Li 1.94
O15 0.3944 0.0960 0.1269  3 Ni 1.87-2.06, 1 Li 1.96
O16 0.4040 0.8731 0.8944  3 Ni 1.87-2.06, 1 Li 1.96
O17 0.5960 0.3731 0.6056  3 Ni 1.87-2.06, 1 Li 1.96
O18 0.6056 0.5960 0.3731  3 Ni 1.87-2.06, 1 Li 1.96
O19 0.6168 0.8832 0.1168  3 Ni 1.89, 1 Li 1.94
O20 0.6231 0.3460 0.1444  3 Ni 1.87-2.06, 1 Li 1.96
O21 0.6269 0.1056 0.9040  3 Ni 1.87-2.06, 1 Li 1.96
O22 0.6332 0.1332 0.3668  3 Ni 1.89, 1 Li 1.94
O23 0.6444 0.8769 0.6540  3 Ni 1.87-2.06, 1 Li 1.96
O24 0.6540 0.6444 0.8769  3 Ni 1.87-2.06, 1 Li 1.96
O25 0.8460 0.3556 0.3769  3 Ni 1.87-2.06, 1 Li 1.96
O26 0.8556 0.1231 0.1540  3 Ni 1.87-2.06, 1 Li 1.96
O27 0.8668 0.8668 0.8668  3 Ni 1.89, 1 Li 1.94
O28 0.8731 0.8944 0.4040  3 Ni 1.87-2.06, 1 Li 1.96
O29 0.8769 0.6540 0.6444  3 Ni 1.87-2.06, 1 Li 1.96
O30 0.8832 0.1168 0.6168  3 Ni 1.89, 1 Li 1.94
O31 0.8944 0.4040 0.8731  3 Ni 1.87-2.06, 1 Li 1.96
O32 0.9040 0.6269 0.1056  3 Ni 1.87-2.06, 1 Li 1.96

Properties
Energy above the lowest structure with this stoichiometry in meV per atom: 0
Total magnetic moment in μB/cell: 8.00
V in Å³/atom: 9.54
DFT total energy in eV per atom: -4.81

# 7
A relaxed structure of LiNi9O13. Source: Alexandria, functional PBE+U.

Lattice parameters (Å, degrees): 5.0942 5.0942 16.9388 97.62 97.62 33.09
Last column: nearest neighbours and their distance in Å.
Fractional coordinates of all 23 atoms:
Li1 0.0000 0.0000 0.0000  2 O 1.83
Ni1 0.0912 0.0912 0.7182  6 O 2.05-2.07
Ni2 0.2392 0.2392 0.2846  6 O 1.98-2.08
Ni3 0.3395 0.3395 0.6376  6 O 1.91-2.09
Ni4 0.5271 0.5271 0.3582  4 O 1.82-1.98
Ni5 0.5834 0.5834 0.5566  5 O 1.92-2.04
Ni6 0.6045 0.6045 0.8822  5 O 1.94-2.05
Ni7 0.6692 0.6692 0.1190  5 O 1.96-2.07
Ni8 0.8429 0.8429 0.7960  6 O 1.92-2.09
Ni9 0.9502 0.9502 0.2032  6 O 1.89-2.08
O1 0.0336 0.0336 0.1089  1 Li 1.83, 3 Ni 1.89-1.96
O2 0.1520 0.1520 0.3833  3 Ni 1.91-1.98
O3 0.2079 0.2079 0.5429  3 Ni 1.91-1.93
O4 0.2088 0.2088 0.8296  5 Ni 2.05-2.09
O5 0.3019 0.3019 0.1729  5 Ni 2.06-2.07
O6 0.4562 0.4562 0.7442  5 Ni 2.00-2.09
O7 0.4678 0.4678 0.4551  2 Ni 1.82-1.92
O8 0.5897 0.5897 0.2521  5 Ni 1.98-2.08
O9 0.6680 0.6680 0.0004  2 Ni 2.01, 2 Li 2.19
O10 0.7237 0.7237 0.6853  5 Ni 2.07
O11 0.8899 0.8899 0.3100  5 Ni 1.98-2.07
O12 0.9750 0.9750 0.8911  1 Li 1.83, 3 Ni 1.92-1.94
O13 0.9774 0.9774 0.6070  5 Ni 2.04-2.09

Properties
Energy above the lowest structure with this stoichiometry in meV per atom: 57
Total magnetic moment in μB/cell: 3.67
V in Å³/atom: 10.33
DFT total energy in eV per atom: -4.62